## w
TaMnZn3 | PBE | optimized geometry

a b c (Å): 4.4432 4.4432 4.4432
angles (deg): 90.00 90.00 90.00
Site moments in Bohr magnetons follow the coordinates.
Element x y z (fractional)
Zn 0.0000 0.5000 0.0000  0.01
Zn 0.0000 0.0000 0.5000  0.04
Zn 0.5000 0.0000 0.0000  -0.03
Mn 0.0000 0.0000 0.0000  2.17
Ta 0.5000 0.5000 0.5000  -0.13

---

## x
TaMnZn3 | PBE | optimized geometry

a b c (Å): 4.9869 4.9869 4.9869
angles (deg): 90.00 90.00 90.00
Site moments in Bohr magnetons follow the coordinates.
Element x y z (fractional)
Zn 0.0000 0.5000 0.0000  -0.10
Zn 0.0000 0.0000 0.5000  -0.06
Zn 0.5000 0.0000 0.0000  -0.09
Mn 0.5000 0.5000 0.5000  4.36
Ta 0.0000 0.0000 0.0000  -0.77

---

Stability ranking, top and bottom: w is the most stable and x is the least stable.

---

## w
TaMn3Zn | PBE | optimized geometry

a b c (Å): 4.4120 4.4120 4.4120
angles (deg): 90.00 90.00 90.00
Site moments in Bohr magnetons follow the coordinates.
Element x y z (fractional)
Zn 0.0000 0.0000 0.0000  -0.04
Mn 0.0000 0.5000 0.0000  3.20
Mn 0.0000 0.0000 0.5000  3.20
Mn 0.5000 0.0000 0.0000  2.78
Ta 0.5000 0.5000 0.5000  -1.30

---

## x
TaMn3Zn | PBE | optimized geometry

a b c (Å): 4.6714 4.6714 4.6714
angles (deg): 90.00 90.00 90.00
Site moments in Bohr magnetons follow the coordinates.
Element x y z (fractional)
Zn 0.5000 0.5000 0.5000  -0.06
Mn 0.0000 0.5000 0.0000  3.00
Mn 0.0000 0.0000 0.5000  2.77
Mn 0.5000 0.0000 0.0000  3.21
Ta 0.0000 0.0000 0.0000  -0.93

---

Stability ranking, top and bottom: w is the most stable and x is the least stable.

---

## w
ZrTa2Mn | PBE | optimized geometry

a b c (Å): 4.4079 3.0204 5.3868
angles (deg): 77.10 90.00 90.00
Element x y z (fractional)
Mn 0.5000 0.7500 0.7500
Ta 0.0000 0.9596 0.9802
Ta 0.0000 0.5404 0.5198
Zr 0.5000 0.2500 0.2500

---

## x
ZrTa2Mn | PBE | optimized geometry

a b c (Å): 9.1088 9.1088 9.1088
angles (deg): 19.24 19.24 19.24
Site moments in Bohr magnetons follow the coordinates.
Element x y z (fractional)
Mn 0.7500 0.7500 0.7500  0.65
Ta 0.0126 0.0126 0.0126  -0.09
Ta 0.4874 0.4874 0.4874  -0.09
Zr 0.2500 0.2500 0.2500  -0.02

---

## y
ZrTa2Mn | PBE | optimized geometry

a b c (Å): 3.0934 3.0934 7.2952
angles (deg): 90.00 90.00 90.00
Element x y z (fractional)
Mn 0.5000 0.5000 0.7500
Ta 0.0000 0.0000 0.9551
Ta 0.0000 0.0000 0.5449
Zr 0.5000 0.5000 0.2500

---

## z
ZrTa2Mn | PBE | optimized geometry

a b c (Å): 4.5803 4.5803 4.5803
angles (deg): 60.00 60.00 60.00
Element x y z (fractional)
Mn 0.0000 0.0000 0.0000
Zr 0.5000 0.5000 0.5000
Ta 0.2500 0.2500 0.2500
Ta 0.7500 0.7500 0.7500

---

Stability ranking, top and bottom: y is the most stable and x is the least stable.

---

## w
ZrTa2Mn | PBE | optimized geometry

a b c (Å): 2.9121 2.9121 8.7403
angles (deg): 90.00 90.00 109.96
Element x y z (fractional)
Mn 0.5000 0.5000 0.7600
Ta 0.0000 0.0000 0.9728
Ta 0.5000 0.5000 0.2375
Zr 0.0000 0.0000 0.5297

---

## x
ZrTa2Mn | PBE | optimized geometry

a b c (Å): 5.4013 5.4013 4.7470
angles (deg): 63.87 63.87 34.34
Element x y z (fractional)
Mn 0.7426 0.7426 0.7573
Ta 0.0239 0.0239 0.9761
Ta 0.2531 0.2531 0.2470
Zr 0.4804 0.4804 0.5196

---

## y
ZrTa2Mn | PBE | optimized geometry

a b c (Å): 5.4619 5.4619 5.4619
angles (deg): 146.15 129.26 62.40
Element x y z (fractional)
Mn 0.7500 0.2500 0.5000
Ta 0.9776 0.9776 0.0000
Ta 0.5224 0.5224 0.0000
Zr 0.2500 0.7500 0.5000

---

Stability ranking, top and bottom: y is the most stable and w is the least stable.

---

## w
Tb4Mn | PBE | optimized geometry

a b c (Å): 7.4957 7.4957 7.4957
angles (deg): 60.00 60.00 60.00
Site moments in Bohr magnetons follow the coordinates.
Element x y z (fractional)
Tb 0.8874 0.8874 0.8874  -0.14
Tb 0.3377 0.8874 0.8874  -0.14
Tb 0.8874 0.8874 0.3377  -0.14
Tb 0.9123 0.3626 0.3626  -0.14
Tb 0.3626 0.3626 0.3626  -0.14
Tb 0.8874 0.3377 0.8874  -0.14
Tb 0.3626 0.3626 0.9123  -0.14
Tb 0.3626 0.9123 0.3626  -0.14
Mn 0.5000 0.5000 0.5000  1.94
Mn 0.7500 0.7500 0.7500  1.94

---

## x
Tb4Mn | PBE | optimized geometry

a b c (Å): 5.3116 5.3116 5.3116
angles (deg): 90.00 90.00 90.00
Site moments in Bohr magnetons follow the coordinates.
Element x y z (fractional)
Mn 0.5000 0.5000 0.5000  1.31
Tb 0.0000 0.0000 0.0000  -0.25
Tb 0.5000 0.0000 0.5000  -0.16
Tb 0.0000 0.5000 0.5000  -0.16
Tb 0.5000 0.5000 0.0000  -0.16

---

Stability ranking, top and bottom: x is the most stable and w is the least stable.

---

## w
TbMnTc | PBE | optimized geometry

a b c (Å): 5.1324 5.3580 5.3580
angles (deg): 61.17 61.38 61.38
Site moments in Bohr magnetons follow the coordinates.
Element x y z (fractional)
Tb 0.8772 0.3728 0.3728  -0.20
Tb 0.1228 0.6272 0.6272  -0.20
Mn 0.5000 0.5000 0.0000  2.44
Mn 0.5000 0.0000 0.5000  2.44
Tc 0.0000 0.0000 0.0000  -0.12
Tc 0.5000 0.0000 0.0000  -0.12

---

## x
TbMnTc | PBE | optimized geometry

a b c (Å): 5.0713 5.0713 5.3551
angles (deg): 102.08 102.08 123.93
Element x y z (fractional)
Tb 0.6575 0.3425 0.0000
Tb 0.3425 0.6575 0.0000
Tc 0.8237 0.8237 0.6475
Tc 0.1763 0.1763 0.3525
Mn 0.7500 0.2500 0.5000
Mn 0.2500 0.7500 0.5000

---

Stability ranking, top and bottom: w is the most stable and x is the least stable.

---

## w
TbThMn | PBE | optimized geometry

a b c (Å): 3.6045 3.6045 6.4256
angles (deg): 106.29 106.29 90.00
Site moments in Bohr magnetons follow the coordinates.
Element x y z (fractional)
Mn 0.6728 0.6728 0.3456  2.97
Tb 0.0183 0.0183 0.0366  -0.10
Th 0.3089 0.3089 0.6177  -0.17

---

## x
TbThMn | PBE | optimized geometry

a b c (Å): 3.5493 5.8976 7.8316
angles (deg): 89.55 90.00 107.51
Site moments in Bohr magnetons follow the coordinates.
Element x y z (fractional)
Mn 0.2895 0.5791 0.3915  2.55
Mn 0.7105 0.4209 0.6085  2.55
Th 0.5910 0.1819 0.3098  -0.13
Th 0.4090 0.8181 0.6902  -0.13
Tb 0.8641 0.7283 0.0956  0.01
Tb 0.1359 0.2717 0.9044  0.01

---

Stability ranking, top and bottom: w is the most stable and x is the least stable.

---

## w
Tb2TmMn | PBE | optimized geometry

a b c (Å): 3.3806 3.3806 11.4630
angles (deg): 81.52 81.52 60.00
Site moments in Bohr magnetons follow the coordinates.
Element x y z (fractional)
Tm 0.5000 0.5000 0.5000  0.05
Tb 0.0821 0.0821 0.7536  -0.25
Tb 0.9179 0.9179 0.2464  -0.25
Mn 0.0000 0.0000 0.0000  3.64

---

## x
Tb2TmMn | PBE | optimized geometry

a b c (Å): 3.5437 3.5437 8.5444
angles (deg): 90.00 90.00 90.00
Site moments in Bohr magnetons follow the coordinates.
Element x y z (fractional)
Tm 0.5000 0.5000 0.5000  0.35
Tb 0.0000 0.0000 0.7944  -0.11
Tb 0.0000 0.0000 0.2056  -0.11
Mn 0.5000 0.5000 0.0000  3.39

---

Stability ranking, top and bottom: x is the most stable and w is the least stable.

---

## w
TbUMn | PBE | optimized geometry

a b c (Å): 3.3127 3.3127 6.0532
angles (deg): 105.88 105.88 90.00
Element x y z (fractional)
U 0.7073 0.7073 0.4146
Mn 0.2916 0.2916 0.5832
Tb 0.0011 0.0011 0.0022

---

## x
TbUMn | PBE | optimized geometry

a b c (Å): 3.3249 5.2054 7.3945
angles (deg): 90.00 102.93 90.00
Element x y z (fractional)
Mn 0.3823 0.2500 0.7657
Mn 0.6177 0.7500 0.2343
Tb 0.0698 0.2500 0.1378
Tb 0.9302 0.7500 0.8622
U 0.7737 0.2500 0.5519
U 0.2263 0.7500 0.4481

---

Stability ranking, top and bottom: x is the most stable and w is the least stable.

---

## w
TbMnV | PBE | optimized geometry

a b c (Å): 4.8419 4.8419 5.7475
angles (deg): 106.54 106.54 108.91
Site moments in Bohr magnetons follow the coordinates.
Element x y z (fractional)
Tb 0.6864 0.3136 0.0000  -0.06
Tb 0.3136 0.6864 0.0000  -0.06
V 0.8140 0.8140 0.6281  -1.30
V 0.1860 0.1860 0.3719  -1.30
Mn 0.7500 0.2500 0.5000  1.93
Mn 0.2500 0.7500 0.5000  1.93

---

## x
TbMnV | PBE | optimized geometry

a b c (Å): 3.7552 3.7552 4.7092
angles (deg): 90.00 90.00 120.00
Element x y z (fractional)
Mn 0.3333 0.6667 0.5000
Tb 0.0000 0.0000 0.0000
V 0.6667 0.3333 0.5000

---

Stability ranking, top and bottom: x is the most stable and w is the least stable.

---

## w
TbZrMn | PBE | optimized geometry

a b c (Å): 3.1600 4.2367 5.2873
angles (deg): 90.00 90.00 90.00
Site moments in Bohr magnetons follow the coordinates.
Element x y z (fractional)
Zr 0.0000 0.5000 0.5000  -0.40
Mn 0.5000 0.0000 0.5000  2.11
Tb 0.0000 0.0000 0.0000  -0.21

---

## x
TbZrMn | PBE | optimized geometry

a b c (Å): 3.4757 3.4757 6.0574
angles (deg): 106.67 106.67 90.00
Site moments in Bohr magnetons follow the coordinates.
Element x y z (fractional)
Mn 0.6921 0.6921 0.3842  2.45
Tb 0.0121 0.0121 0.0242  -0.31
Zr 0.2958 0.2958 0.5916  -0.55

---

Stability ranking, top and bottom: x is the most stable and w is the least stable.

---

## w
Mn4Tc5 | PBE | optimized geometry

a b c (Å): 7.1899 7.1899 5.2616
angles (deg): 90.00 90.00 60.00
Site moments in Bohr magnetons follow the coordinates.
Element x y z (fractional)
Mn 0.0000 0.0000 0.0000  1.05
Mn 0.0000 0.0000 0.5000  1.05
Mn 0.6660 0.3340 0.2500  -0.37
Mn 0.0000 0.6660 0.2500  -0.37
Mn 0.3340 0.0000 0.2500  -0.37
Mn 0.3340 0.6660 0.7500  -0.37
Mn 0.0000 0.3340 0.7500  -0.37
Mn 0.6660 0.0000 0.7500  -0.37
Tc 0.3255 0.6745 0.2500  0.05
Tc 0.0000 0.3255 0.2500  0.05
Tc 0.6745 0.0000 0.2500  0.05
Tc 0.6745 0.3255 0.7500  0.05
Tc 0.0000 0.6745 0.7500  0.05
Tc 0.3255 0.0000 0.7500  0.05
Tc 0.3333 0.3333 0.0000  0.02
Tc 0.6667 0.6667 0.5000  0.02
Tc 0.6667 0.6667 0.0000  0.02
Tc 0.3333 0.3333 0.5000  0.02

---

## x
Mn4Tc5 | PBE | optimized geometry

a b c (Å): 6.5225 6.5225 6.5225
angles (deg): 93.18 93.18 152.77
Site moments in Bohr magnetons follow the coordinates.
Element x y z (fractional)
Mn 0.0000 0.6652 0.6652  2.45
Mn 0.0000 0.3348 0.3348  2.45
Mn 0.6652 0.0000 0.6652  2.45
Mn 0.3348 0.0000 0.3348  2.45
Tc 0.0000 0.0000 0.0000  -0.17
Tc 0.6682 0.6682 0.3365  -0.14
Tc 0.3318 0.3318 0.6635  -0.14
Tc 0.6682 0.3318 0.0000  -0.14
Tc 0.3318 0.6682 0.0000  -0.14

---

Stability ranking, top and bottom: w is the most stable and x is the least stable.